Entry from the Alexandria database: a geometry-optimized NdHo2Mn structure (PBE).

Cell and atoms, written as POSCAR:
```
NdHo2Mn
1.0
3.483 0.000 0.000
0.000 3.483 0.000
0.000 0.000 9.034
Nd Ho Mn
1 2 1
direct
0.000 0.000 0.000
0.500 0.500 0.308
0.500 0.500 0.692
0.000 0.000 0.500
```

Output
Symmetry: No. 123
Fermi-level density of states: 5.47 states/eV/f.u.
V: 110 Å³/cell
Excess energy over the best structure of this formula in the dataset: 0 meV per atom
Energy of formation: 0.11 eV/atom



Entry from the Alexandria database: a geometry-optimized Be2H structure (PBE).

Cell and atoms, written as POSCAR:
```
Be2H
1.0
1.715 -5.227 0.000
1.715 5.227 0.000
0.000 0.000 2.374
Be H
4 2
direct
0.092 0.908 0.750
0.277 0.723 0.250
0.723 0.277 0.750
0.908 0.092 0.250
0.414 0.586 0.250
0.586 0.414 0.750
```

Output
Symmetry: No. 63
Fermi-level density of states: 0.41 states/eV/f.u.
V: 43 Å³/cell
Excess energy over the best structure of this formula in the dataset: 117 meV per atom



Entry from the Alexandria database: a geometry-optimized Tb2NdSm2Er2 structure (PBE).

Cell and atoms, written as POSCAR:
```
Tb2NdSm2Er2
1.0
5.771 -1.750 0.000
5.771 1.750 0.000
-2.439 0.000 11.585
Tb Nd Sm Er
2 1 2 2
direct
0.154 0.154 0.072
0.846 0.846 0.928
0.500 0.500 0.500
0.093 0.093 0.774
0.907 0.907 0.226
0.204 0.204 0.371
0.796 0.796 0.629
```

Output
Symmetry: No. 12
Fermi-level density of states: 12.71 states/eV/f.u.
V: 234 Å³/cell
Energy of formation: 0.15 eV/atom



Entry from the Alexandria database: a geometry-optimized ZnTeRu structure (PBE).

Cell and atoms, written as POSCAR:
```
ZnTeRu
1.0
-1.729 1.777 4.236
1.729 -1.777 4.236
1.729 1.777 -4.236
Zn Te Ru
1 1 1
direct
0.000 0.000 0.000
0.318 0.318 0.000
0.664 0.664 0.000
```

Output
Symmetry: No. 44
Fermi-level density of states: 3.38 states/eV/f.u.
V: 52 Å³/cell
Excess energy over the best structure of this formula in the dataset: 128 meV per atom



Entry from the Alexandria database: a geometry-optimized Y4CuRu structure (PBE).

Cell and atoms, written as POSCAR:
```
Y4CuRu
1.0
0.000 4.243 4.243
4.243 0.000 4.243
4.243 4.243 0.000
Y Cu Ru
4 1 1
direct
0.376 0.376 0.376
0.376 0.376 0.872
0.376 0.872 0.376
0.872 0.376 0.376
0.000 0.000 0.000
0.750 0.750 0.750
```

Output
Symmetry: No. 216
Fermi-level density of states: 8.34 states/eV/f.u.
V: 153 Å³/cell
Excess energy over the best structure of this formula in the dataset: 1136 meV per atom
Energy of formation: 0.90 eV/atom



Entry from the Alexandria database: a geometry-optimized CuP2Ir structure (PBE).

Cell and atoms, written as POSCAR:
```
CuP2Ir
1.0
0.000 3.008 3.008
3.008 0.000 3.008
3.008 3.008 0.000
Cu P Ir
1 2 1
direct
0.000 0.000 0.000
0.250 0.250 0.250
0.500 0.500 0.500
0.750 0.750 0.750
```

Output
Symmetry: No. 216
Fermi-level density of states: 2.34 states/eV/f.u.
V: 54 Å³/cell
Excess energy over the best structure of this formula in the dataset: 633 meV per atom
Energy of formation: 0.48 eV/atom